1.
PBE CaTbGaRu, optimized geometry; space group = F-43m; formation enthalpy at 0 K = -0.206 eV per atom; total magnetization = 0.00 μB per formula unit; E_tot = -4.94 eV/atom
1.0
0.0000 3.5052 3.5052
3.5052 0.0000 3.5052
3.5052 3.5052 0.0000
Ca Tb Ga Ru
1 1 1 1
direct
0.0000 0.0000 0.0000
0.5000 0.5000 0.5000
0.7500 0.7500 0.7500
0.2500 0.2500 0.2500

---

2.
PBE CaThGaRu, optimized geometry; space group = F-43m; formation enthalpy at 0 K = -0.230 eV per atom; total magnetization = 0.00 μB per formula unit; E_tot = -5.66 eV/atom
1.0
0.0000 3.5655 3.5655
3.5655 0.0000 3.5655
3.5655 3.5655 0.0000
Ca Th Ga Ru
1 1 1 1
direct
0.0000 0.0000 0.0000
0.5000 0.5000 0.5000
0.2500 0.2500 0.2500
0.7500 0.7500 0.7500

---

3.
PBE Ca2GaRuW, optimized geometry; space group = P4/mmm; formation enthalpy at 0 K = 0.770 eV per atom; total magnetization = 1.94 μB per formula unit; E_tot = -5.08 eV/atom
1.0
5.5215 0.0000 0.0000
0.0000 5.5215 0.0000
0.0000 0.0000 4.7764
Ca Ga Ru W
2 1 1 1
direct
0.0000 0.5000 0.0000
0.5000 0.0000 0.0000
0.0000 0.0000 0.5000
0.5000 0.5000 0.0000
0.5000 0.5000 0.5000

---

4.
PBE Ca2ZnGaRu, optimized geometry; space group = P4/mmm; formation enthalpy at 0 K = 0.734 eV per atom; total magnetization = 0.00 μB per formula unit; E_tot = -2.78 eV/atom
1.0
5.3251 0.0000 0.0000
0.0000 5.3251 0.0000
0.0000 0.0000 4.3995
Ca Zn Ga Ru
2 1 1 1
direct
0.0000 0.5000 0.0000
0.5000 0.0000 0.0000
0.0000 0.0000 0.5000
0.0000 0.0000 0.0000
0.5000 0.5000 0.5000

---

Copy entry 2 word for word.
PBE CaThGaRu, optimized geometry; space group = F-43m; formation enthalpy at 0 K = -0.230 eV per atom; total magnetization = 0.00 μB per formula unit; E_tot = -5.66 eV/atom
1.0
0.0000 3.5655 3.5655
3.5655 0.0000 3.5655
3.5655 3.5655 0.0000
Ca Th Ga Ru
1 1 1 1
direct
0.0000 0.0000 0.0000
0.5000 0.5000 0.5000
0.2500 0.2500 0.2500
0.7500 0.7500 0.7500